Entry 1:
First-principles (PBE) data for an optimized crystal structure of Tb7Er16Tm6, as listed in the Alexandria database.

Output
**DFT total energy**: -4.2976 eV/atom
**Formation energy from the elements**: 0.263 eV per atom
**Magnetic moment**: 0.01 Bohr magnetons per cell
**Symmetry**: Fm-3m, No. 225

a b c (Å): 10.994 10.994 10.994
angles (deg): 60.00 60.00 60.00
Positions (direct):
Tb 0.000 0.000 0.000
Tb 0.000 0.000 0.500
Tb 0.000 0.500 0.000
Tb 0.000 0.500 0.500
Tb 0.500 0.000 0.000
Tb 0.500 0.000 0.500
Tb 0.500 0.500 0.000
Er 0.048 0.651 0.651
Er 0.124 0.124 0.124
Er 0.124 0.124 0.627
Er 0.124 0.627 0.124
Er 0.349 0.349 0.349
Er 0.349 0.349 0.952
Er 0.349 0.952 0.349
Er 0.373 0.876 0.876
Er 0.627 0.124 0.124
Er 0.651 0.048 0.651
Er 0.651 0.651 0.048
Er 0.651 0.651 0.651
Er 0.876 0.373 0.876
Er 0.876 0.876 0.373
Er 0.876 0.876 0.876
Er 0.952 0.349 0.349
Tm 0.271 0.271 0.729
Tm 0.271 0.729 0.271
Tm 0.271 0.729 0.729
Tm 0.729 0.271 0.271
Tm 0.729 0.271 0.729
Tm 0.729 0.729 0.271

---

Entry 2:
First-principles (PBE) data for an optimized crystal structure of YMoN3, as listed in the Alexandria database.

Output
**DFT total energy**: -9.1370 eV/atom
**Magnetic moment**: 0.00 Bohr magnetons per cell
**E_form (uncorrected)**: -0.68 eV/atom
**Symmetry**: P1, No. 1

a b c (Å): 3.376 6.064 6.949
angles (deg): 64.67 76.06 83.75
Positions (direct):
Y 0.000 0.000 0.000
Y 0.272 0.164 0.398
Mo 0.693 0.581 0.509
Mo 0.935 0.518 0.956
N 0.153 0.408 0.622
N 0.427 0.267 0.028
N 0.494 0.708 0.779
N 0.665 0.891 0.795
N 0.814 0.526 0.234
N 0.839 0.917 0.361

---

Entry 3:
First-principles (PBE) data for an optimized crystal structure of ZnCdRh3, as listed in the Alexandria database.

Output
**DFT total energy**: -4.0580 eV/atom
**Offset from the most stable computed form**: 0 meV per atom
**Formation energy from the elements**: 0.791 eV per atom
**Magnetic moment**: 1.96 Bohr magnetons per cell
**Symmetry**: Pm-3m, No. 221

a b c (Å): 4.568 4.568 4.568
angles (deg): 90.00 90.00 90.00
Positions (direct):
Zn 0.000 0.000 0.000
Cd 0.500 0.500 0.500
Rh 0.000 0.000 0.500
Rh 0.000 0.500 0.000
Rh 0.500 0.000 0.000

---

Entry 4:
First-principles (PBE) data for an optimized crystal structure of Ba2AgHg, as listed in the Alexandria database.

Output
**DFT total energy**: -1.3930 eV/atom
**Formation energy from the elements**: 0.357 eV per atom
**Magnetic moment**: 0.00 Bohr magnetons per cell
**Symmetry**: Immm, No. 71

a b c (Å): 7.844 7.844 7.844
angles (deg): 149.94 126.54 62.56
Positions (direct):
Ba 0.245 0.245 0.000
Ba 0.755 0.755 0.000
Ag 0.000 0.000 0.000
Hg 0.500 0.500 0.000

---

Entry 5:
First-principles (PBE) data for an optimized crystal structure of AcBi2F11, as listed in the Alexandria database.

Output
**DFT total energy**: -4.9928 eV/atom
**Magnetic moment**: 0.00 Bohr magnetons per cell
**E_form (uncorrected)**: -2.67 eV/atom
**Symmetry**: Ibam, No. 72

a b c (Å): 8.938 8.938 8.938
angles (deg): 124.56 106.95 98.12
Positions (direct):
Ac 0.250 0.250 0.000
Ac 0.750 0.750 0.000
Bi 0.180 0.638 0.818
Bi 0.320 0.138 0.458
Bi 0.680 0.862 0.542
Bi 0.820 0.362 0.182
F 0.000 0.500 0.500
F 0.049 0.963 0.285
F 0.056 0.362 0.158
F 0.178 0.463 0.914
F 0.204 0.898 0.842
F 0.219 0.365 0.584
F 0.281 0.865 0.146
F 0.296 0.138 0.694
F 0.322 0.236 0.285
F 0.444 0.602 0.306
F 0.451 0.736 0.914
F 0.500 0.000 0.500
F 0.549 0.264 0.086
F 0.556 0.398 0.694
F 0.678 0.764 0.715
F 0.704 0.862 0.306
F 0.719 0.135 0.854
F 0.781 0.635 0.416
F 0.796 0.102 0.158
F 0.822 0.537 0.086
F 0.944 0.638 0.842
F 0.951 0.037 0.715

---

Entry 6:
First-principles (PBE) data for an optimized crystal structure of Na12CdAu6, as listed in the Alexandria database.

Output
**DFT total energy**: -2.1131 eV/atom
**Offset from the most stable computed form**: 29 meV per atom
**Formation energy from the elements**: -0.197 eV per atom
**Magnetic moment**: 0.00 Bohr magnetons per cell
**Symmetry**: R-3, No. 148

a b c (Å): 8.612 8.612 8.612
angles (deg): 111.35 111.35 111.35
Positions (direct):
Na 0.131 0.746 0.187
Na 0.187 0.131 0.746
Na 0.198 0.490 0.350
Na 0.254 0.813 0.869
Na 0.350 0.198 0.490
Na 0.490 0.350 0.198
Na 0.510 0.650 0.802
Na 0.650 0.802 0.510
Na 0.746 0.187 0.131
Na 0.802 0.510 0.650
Na 0.813 0.869 0.254
Na 0.869 0.254 0.813
Cd 0.000 0.000 0.000
Au 0.040 0.332 0.573
Au 0.332 0.573 0.040
Au 0.427 0.960 0.668
Au 0.573 0.040 0.332
Au 0.668 0.427 0.960
Au 0.960 0.668 0.427

---

Entry 7:
First-principles (PBE) data for an optimized crystal structure of Ta3Cr4, as listed in the Alexandria database.

Output
**DFT total energy**: -10.5454 eV/atom
**Offset from the most stable computed form**: 0 meV per atom
**Formation energy from the elements**: 0.033 eV per atom
**Magnetic moment**: 0.00 Bohr magnetons per cell
**Symmetry**: I4/mmm, No. 139

a b c (Å): 11.223 11.223 11.223
angles (deg): 164.46 164.46 22.04
Positions (direct):
Ta 0.000 0.000 0.000
Ta 0.293 0.293 0.000
Ta 0.707 0.707 0.000
Cr 0.134 0.134 0.000
Cr 0.427 0.427 0.000
Cr 0.573 0.573 0.000
Cr 0.866 0.866 0.000

---

Entry 8:
First-principles (PBE) data for an optimized crystal structure of Er2In5Ga, as listed in the Alexandria database.

Output
**DFT total energy**: -3.6217 eV/atom
**Formation energy from the elements**: -0.391 eV per atom
**Magnetic moment**: 0.00 Bohr magnetons per cell
**Symmetry**: Pbam, No. 55

a b c (Å): 6.488 12.985 4.535
angles (deg): 90.00 90.00 90.00
Positions (direct):
Er 0.235 0.120 0.000
Er 0.265 0.620 0.000
Er 0.735 0.380 0.000
Er 0.765 0.880 0.000
In 0.000 0.500 0.500
In 0.012 0.752 0.500
In 0.241 0.374 0.000
In 0.259 0.874 0.000
In 0.488 0.252 0.500
In 0.500 0.000 0.500
In 0.512 0.748 0.500
In 0.741 0.126 0.000
In 0.759 0.626 0.000
In 0.988 0.248 0.500
Ga 0.000 0.000 0.500
Ga 0.500 0.500 0.500

---

Entry 9:
First-principles (PBE) data for an optimized crystal structure of TbSmDyHo, as listed in the Alexandria database.

Output
**DFT total energy**: -4.4935 eV/atom
**Offset from the most stable computed form**: 0 meV per atom
**Formation energy from the elements**: 0.139 eV per atom
**Magnetic moment**: 0.00 Bohr magnetons per cell
**Symmetry**: F-43m, No. 216

a b c (Å): 5.680 5.680 5.680
angles (deg): 60.00 60.00 60.00
Positions (direct):
Tb 0.000 0.000 0.000
Sm 0.500 0.500 0.500
Dy 0.750 0.750 0.750
Ho 0.250 0.250 0.250

---

Entry 10:
First-principles (PBE) data for an optimized crystal structure of La6ErSc, as listed in the Alexandria database.

Output
**DFT total energy**: -5.0372 eV/atom
**Offset from the most stable computed form**: 0 meV per atom
**Formation energy from the elements**: 0.020 eV per atom
**Magnetic moment**: 0.00 Bohr magnetons per cell
**Symmetry**: P4/mmm, No. 123

a b c (Å): 5.148 5.148 10.292
angles (deg): 90.00 90.00 90.00
Positions (direct):
La 0.000 0.000 0.000
La 0.000 0.000 0.500
La 0.000 0.500 0.247
La 0.000 0.500 0.753
La 0.500 0.000 0.247
La 0.500 0.000 0.753
Er 0.500 0.500 0.500
Sc 0.500 0.500 0.000

---

Entry 11:
First-principles (PBE) data for an optimized crystal structure of PrInPb, as listed in the Alexandria database.

Output
**DFT total energy**: -4.0411 eV/atom
**Offset from the most stable computed form**: 94 meV per atom
**Formation energy from the elements**: -0.299 eV per atom
**Magnetic moment**: 0.04 Bohr magnetons per cell
**Symmetry**: I4mm, No. 107

a b c (Å): 6.520 6.520 6.520
angles (deg): 145.39 145.39 49.76
Positions (direct):
Pr 0.000 0.000 0.000
In 0.327 0.327 0.000
Pb 0.690 0.690 0.000

---

Entry 12:
First-principles (PBE) data for an optimized crystal structure of LiCd2GaHg5, as listed in the Alexandria database.

Output
**DFT total energy**: -0.9654 eV/atom
**Formation energy from the elements**: -0.045 eV per atom
**Magnetic moment**: 0.00 Bohr magnetons per cell
**Symmetry**: Cmc2_1, No. 36

a b c (Å): 8.833 8.833 14.334
angles (deg): 90.00 90.00 157.97
Positions (direct):
Li 0.063 0.937 0.500
Li 0.937 0.063 0.000
Cd 0.361 0.639 0.829
Cd 0.401 0.599 0.473
Cd 0.599 0.401 0.973
Cd 0.639 0.361 0.329
Ga 0.330 0.670 0.142
Ga 0.670 0.330 0.642
Hg 0.010 0.990 0.825
Hg 0.160 0.840 0.149
Hg 0.186 0.814 0.808
Hg 0.225 0.775 0.483
Hg 0.494 0.506 0.142
Hg 0.506 0.494 0.642
Hg 0.775 0.225 0.983
Hg 0.814 0.186 0.308
Hg 0.840 0.160 0.649
Hg 0.990 0.010 0.325